1.
First-principles (GGA-PBE) data for crystalline Pm5Sm2YMg at its relaxed geometry, as listed in Alexandria.

Space group   Cmc2_1, No. 36
Total energy   -4.494 eV/atom

The structure in CIF format:
```
data_Pm5Sm2YMg
_space_group_name_H-M_alt 'P 1'
_space_group_IT_number 1
_space_group_name_Hall 'P 1'
_cell_length_a 5.534
_cell_length_b 10.463
_cell_length_c 10.833
_cell_angle_alpha 90.00
_cell_angle_beta 90.00
_cell_angle_gamma 105.33
loop_
_atom_site_label
_atom_site_fract_x
_atom_site_fract_y
_atom_site_fract_z
Pm1 0.381 0.762 0.008
Pm2 0.711 0.421 0.807
Pm3 0.500 0.999 0.758
Pm4 0.290 0.580 0.709
Pm5 0.985 0.970 0.508
Pm6 0.619 0.238 0.508
Pm7 0.289 0.579 0.307
Pm8 0.500 0.001 0.258
Pm9 0.710 0.420 0.209
Pm10 0.015 0.030 0.008
Sm1 0.885 0.771 0.798
Sm2 0.115 0.229 0.719
Sm3 0.115 0.229 0.298
Sm4 0.885 0.771 0.219
Y1 0.797 0.595 0.508
Y2 0.203 0.405 0.008
Mg1 0.595 0.191 0.007
Mg2 0.405 0.809 0.507
```

2.
First-principles (GGA-PBE) data for crystalline PmSm2Y2Mg at its relaxed geometry, as listed in Alexandria.

Space group   Pnnm, No. 58
Total energy   -4.323 eV/atom

The structure in CIF format:
```
data_PmSm2Y2Mg
_space_group_name_H-M_alt 'P 1'
_space_group_IT_number 1
_space_group_name_Hall 'P 1'
_cell_length_a 3.617
_cell_length_b 11.881
_cell_length_c 10.500
_cell_angle_alpha 90.00
_cell_angle_beta 90.00
_cell_angle_gamma 90.00
loop_
_atom_site_label
_atom_site_fract_x
_atom_site_fract_y
_atom_site_fract_z
Pm1 0.500 0.500 0.000
Pm2 0.000 0.000 0.500
Sm1 0.500 0.773 0.415
Sm2 0.500 0.227 0.585
Sm3 0.000 0.727 0.915
Sm4 0.000 0.273 0.085
Y1 0.500 0.067 0.244
Y2 0.000 0.567 0.256
Y3 0.500 0.933 0.756
Y4 0.000 0.433 0.744
Mg1 0.000 0.000 0.000
Mg2 0.500 0.500 0.500
```

3.
First-principles (GGA-PBE) data for crystalline PmSm4Y2Mg at its relaxed geometry, as listed in Alexandria.

Space group   P4/mmm, No. 123
Total energy   -4.758 eV/atom

The structure in CIF format:
```
data_PmSm4Y2Mg
_space_group_name_H-M_alt 'P 1'
_space_group_IT_number 1
_space_group_name_Hall 'P 1'
_cell_length_a 5.034
_cell_length_b 5.039
_cell_length_c 11.324
_cell_angle_alpha 63.61
_cell_angle_beta 90.00
_cell_angle_gamma 90.00
loop_
_atom_site_label
_atom_site_fract_x
_atom_site_fract_y
_atom_site_fract_z
Pm1 0.000 0.500 0.500
Sm1 0.000 0.745 0.755
Sm2 0.000 0.255 0.245
Sm3 0.500 0.755 0.245
Sm4 0.500 0.245 0.755
Y1 0.000 0.000 0.000
Y2 0.500 0.000 0.500
Mg1 0.500 0.500 0.000
```

4.
First-principles (GGA-PBE) data for crystalline PmSm6Y2Mg at its relaxed geometry, as listed in Alexandria.

Space group   C2/c, No. 15
Total energy   -4.644 eV/atom

The structure in CIF format:
```
data_PmSm6Y2Mg
_space_group_name_H-M_alt 'P 1'
_space_group_IT_number 1
_space_group_name_Hall 'P 1'
_cell_length_a 8.851
_cell_length_b 9.231
_cell_length_c 9.231
_cell_angle_alpha 119.05
_cell_angle_beta 90.57
_cell_angle_gamma 90.57
loop_
_atom_site_label
_atom_site_fract_x
_atom_site_fract_y
_atom_site_fract_z
Pm1 0.250 0.962 0.038
Pm2 0.750 0.038 0.962
Sm1 0.052 0.114 0.796
Sm2 0.448 0.204 0.886
Sm3 0.948 0.886 0.204
Sm4 0.552 0.796 0.114
Sm5 0.305 0.044 0.466
Sm6 0.195 0.534 0.956
Sm7 0.695 0.956 0.534
Sm8 0.805 0.466 0.044
Sm9 0.086 0.736 0.460
Sm10 0.414 0.540 0.264
Sm11 0.914 0.264 0.540
Sm12 0.586 0.460 0.736
Y1 0.445 0.777 0.680
Y2 0.055 0.320 0.223
Y3 0.555 0.223 0.320
Y4 0.945 0.680 0.777
Mg1 0.250 0.444 0.556
Mg2 0.750 0.556 0.444
```

5.
First-principles (GGA-PBE) data for crystalline Pm6SmY2Mg at its relaxed geometry, as listed in Alexandria.

Space group   C2/c, No. 15
Total energy   -4.660 eV/atom

The structure in CIF format:
```
data_Pm6SmY2Mg
_space_group_name_H-M_alt 'P 1'
_space_group_IT_number 1
_space_group_name_Hall 'P 1'
_cell_length_a 8.899
_cell_length_b 9.251
_cell_length_c 9.251
_cell_angle_alpha 119.16
_cell_angle_beta 90.67
_cell_angle_gamma 90.67
loop_
_atom_site_label
_atom_site_fract_x
_atom_site_fract_y
_atom_site_fract_z
Pm1 0.052 0.116 0.797
Pm2 0.448 0.203 0.884
Pm3 0.948 0.884 0.203
Pm4 0.552 0.797 0.116
Pm5 0.304 0.044 0.465
Pm6 0.196 0.535 0.956
Pm7 0.696 0.956 0.535
Pm8 0.804 0.465 0.044
Pm9 0.088 0.736 0.463
Pm10 0.412 0.537 0.264
Pm11 0.912 0.264 0.537
Pm12 0.588 0.463 0.736
Sm1 0.250 0.964 0.036
Sm2 0.750 0.036 0.964
Y1 0.447 0.777 0.681
Y2 0.053 0.319 0.223
Y3 0.553 0.223 0.319
Y4 0.947 0.681 0.777
Mg1 0.250 0.444 0.556
Mg2 0.750 0.556 0.444
```

6.
First-principles (GGA-PBE) data for crystalline PmSmMgZn at its relaxed geometry, as listed in Alexandria.

Space group   F-43m, No. 216
Total energy   -3.266 eV/atom

The structure in CIF format:
```
data_PmSmMgZn
_space_group_name_H-M_alt 'P 1'
_space_group_IT_number 1
_space_group_name_Hall 'P 1'
_cell_length_a 5.295
_cell_length_b 5.295
_cell_length_c 5.295
_cell_angle_alpha 60.00
_cell_angle_beta 60.00
_cell_angle_gamma 60.00
loop_
_atom_site_label
_atom_site_fract_x
_atom_site_fract_y
_atom_site_fract_z
Zn1 0.000 0.000 0.000
Mg1 0.500 0.500 0.500
Sm1 0.750 0.750 0.750
Pm1 0.250 0.250 0.250
```

- What is the total energy in the first record?
  -4.494 eV/atom

- Among the records above, which one has the lowest total energy?
  PmSm4Y2Mg

- What is the formula in the fifth record?
  Pm6SmY2Mg

- Which value of total energy does entry 2 give?
  -4.323 eV/atom